Density functional theory data (PBE) for crystalline HgPRh2 at its relaxed geometry.

Cell and atoms, written as extended XYZ:
```
4
Lattice="-1.8953 1.8953 4.4287 1.8953 -1.8953 4.4287 1.8953 1.8953 -4.4287" Properties=species:S:1:pos:R:3 pbc="T T T"
Hg 0.0000 0.0000 4.4287
P 1.8953 0.0000 2.2143
Rh 0.0000 0.0000 0.0000
Rh 0.0000 1.8953 2.2143
```

Summary:
- calculated formation energy (eV per atom) = 0.320
- density (kg/m3) = 11413
- SG = No. 119
- spin magnetization (μB per atom) = 0.00

---

Density functional theory data (PBE) for crystalline NdY6Ho8 at its relaxed geometry.

Cell and atoms, written as extended XYZ:
```
15
Lattice="-7.0147 4.9232 2.8783 -8.4108 -3.2172 -0.7977 -4.6256 -2.3166 6.8869" Properties=species:S:1:pos:R:3 pbc="T T T"
Nd 0.0000 0.0000 0.0000
Y -14.8048 -2.6311 6.6616
Y -3.2705 -0.4997 0.9671
Y -6.7193 -0.8736 1.0804
Y -13.3317 0.2630 7.8870
Y -16.7806 -0.1109 8.0003
Y -5.2462 2.0205 2.3059
Ho -6.8095 -0.9762 4.4686
Ho -7.9446 2.2005 4.9121
Ho -9.0060 -2.8363 2.6541
Ho -10.1433 0.3529 3.0708
Ho -9.9078 -0.9636 5.8967
Ho -11.0451 2.2257 6.3134
Ho -12.1064 -2.8112 4.0553
Ho -13.2415 0.3656 4.4988
```

Summary:
- calculated formation energy (eV per atom) = 0.127
- density (kg/m3) = 6838
- SG = No. 148
- spin magnetization (μB per atom) = 0.00

---

Density functional theory data (PBE) for crystalline NiHg2Mo at its relaxed geometry.

Cell and atoms, written as extended XYZ:
```
4
Lattice="-2.8909 0.2933 -0.0118 -0.1685 -1.5617 2.4685 0.6100 6.2446 5.7627" Properties=species:S:1:pos:R:3 pbc="T T T"
Hg 0.5466 5.6299 6.0147
Hg -1.2839 1.8089 1.7292
Mo 0.2610 2.7404 4.1530
Ni -1.1425 3.3830 6.2007
```

Summary:
- E above lowest polymorph (eV/atom) = 0.000
- calculated formation energy (eV per atom) = 0.280
- density (kg/m3) = 12943
- SG = No. 6
- spin magnetization (μB per atom) = 0.00

---

Density functional theory data (PBE) for crystalline YOsSe2N at its relaxed geometry.

Cell and atoms, written as extended XYZ:
```
5
Lattice="5.4623 0.0000 0.0000 0.0000 5.4623 0.0000 0.0000 0.0000 4.2440" Properties=species:S:1:pos:R:3 pbc="T T T"
Y 0.0000 0.0000 0.0000
Os 2.7311 2.7311 2.1220
Se 0.0000 2.7311 0.0000
Se 2.7311 0.0000 0.0000
N 0.0000 0.0000 2.1220
```

Summary:
- E above lowest polymorph (eV/atom) = 1.650
- density (kg/m3) = 5915
- SG = No. 123
- energy relative to the elements, uncorrected (eV per atom) = 1.256
- spin magnetization (μB per atom) = 1.08

---

Density functional theory data (PBE) for crystalline Te2PbSe at its relaxed geometry.

Cell and atoms, written as extended XYZ:
```
4
Lattice="-4.9275 -4.7442 -0.0945 -0.4122 -5.4397 4.1276 1.0206 6.7642 0.0226" Properties=species:S:1:pos:R:3 pbc="T T T"
Pb -2.6698 -5.0919 2.0165
Se -3.2883 -1.5360 0.9723
Te 0.0000 0.0000 0.0000
Te -1.0307 -1.8837 3.0833
```

Summary:
- density (kg/m3) = 7626
- SG = No. 119
- energy relative to the elements, uncorrected (eV per atom) = 0.118
- spin magnetization (μB per atom) = 0.00

---

Density functional theory data (PBE) for crystalline AcDyY2S4 at its relaxed geometry.

Cell and atoms, written as extended XYZ:
```
8
Lattice="-0.0665 3.7041 -1.4188 -5.5686 -1.5914 -3.8940 -5.8090 1.3143 3.7035" Properties=species:S:1:pos:R:3 pbc="T T T"
Ac -2.8176 1.0563 -2.6564
Dy -5.6888 -0.1385 -0.0952
Y -5.8090 1.3143 3.7035
Y -2.9377 2.5092 1.1424
S -8.5210 -0.2638 -0.2895
S -2.9231 3.6908 -1.3197
S -5.7669 0.9884 -2.6957
S -5.6772 2.4386 1.0864
```

Summary:
- density (kg/m3) = 6286
- SG = No. 10
- energy relative to the elements, uncorrected (eV per atom) = -1.958
- spin magnetization (μB per atom) = 0.00

---

Density functional theory data (PBE) for crystalline ErPaTi2N4 at its relaxed geometry.

Cell and atoms, written as extended XYZ:
```
8
Lattice="-2.8826 -0.9555 1.0952 0.5948 -4.8844 -2.6958 2.5241 -3.7234 3.3951" Properties=species:S:1:pos:R:3 pbc="T T T"
Er -1.1439 -2.9200 -0.8003
Pa 1.5594 -4.3039 0.3497
Ti 2.5241 -3.7234 3.3951
Ti -0.1793 -2.3394 2.2451
N 2.3241 -6.5346 0.4163
N -2.0879 -3.0287 1.3782
N -0.3771 -5.1703 -0.7454
N 0.6134 -4.3930 2.5399
```

Summary:
- density (kg/m3) = 9490
- SG = No. 10
- energy relative to the elements, uncorrected (eV per atom) = -1.612
- spin magnetization (μB per atom) = 0.00

---

Density functional theory data (PBE) for crystalline TmTlBr at its relaxed geometry.

Cell and atoms, written as extended XYZ:
```
6
Lattice="3.7672 0.4450 0.4250 0.8927 8.4313 0.3361 -0.4955 -0.8509 5.2246" Properties=species:S:1:pos:R:3 pbc="T T T"
Br 0.9797 3.9798 4.2205
Br 3.1846 4.0455 1.7651
Tl 3.2648 0.7199 4.5951
Tl 0.8996 7.3054 1.3905
Tm 2.6930 6.2048 3.8407
Tm 1.4714 1.8205 2.1449
```

Summary:
- density (kg/m3) = 9050
- SG = No. 2
- energy relative to the elements, uncorrected (eV per atom) = -0.736
- spin magnetization (μB per atom) = 0.00

---

Density functional theory data (PBE) for crystalline Sc4Pb2S at its relaxed geometry.

Cell and atoms, written as extended XYZ:
```
7
Lattice="-3.1301 -3.3554 -1.1919 3.3807 -2.3022 -2.3974 1.6779 -1.0952 8.1055" Properties=species:S:1:pos:R:3 pbc="T T T"
Pb 0.6377 -3.9438 -0.0014
Pb 1.2908 -2.8089 4.5175
Sc 1.3394 -5.4708 2.4545
Sc 0.5891 -1.2819 2.0617
Sc 1.6904 -1.1511 -1.1987
Sc -1.5651 -1.6777 -0.5960
S 0.0000 0.0000 0.0000
```

Summary:
- density (kg/m3) = 6051
- SG = No. 139
- energy relative to the elements, uncorrected (eV per atom) = -0.735
- spin magnetization (μB per atom) = 0.00

---

Density functional theory data (PBE) for crystalline ZnRu2Rh at its relaxed geometry.

Cell and atoms, written as extended XYZ:
```
4
Lattice="8.9212 0.0013 0.0008 8.5068 2.6873 0.0008 8.5068 1.3123 2.3450" Properties=species:S:1:pos:R:3 pbc="T T T"
Rh 19.4511 3.0007 1.7599
Ru 0.0071 0.0011 0.0006
Ru 12.9604 1.9994 1.1727
Zn 6.4837 1.0002 0.5866
```

Summary:
- calculated formation energy (eV per atom) = 0.083
- density (kg/m3) = 10951
- SG = No. 166
- spin magnetization (μB per atom) = 0.00

---

Density functional theory data (PBE) for crystalline Na5V2N5 at its relaxed geometry.

Cell and atoms, written as extended XYZ:
```
12
Lattice="-3.1793 0.3990 -0.3472 1.7582 -3.0500 -4.6465 -1.4529 -6.1609 6.2248" Properties=species:S:1:pos:R:3 pbc="T T T"
Na -2.3161 -2.8809 2.9388
Na -1.6557 -1.2550 -1.2399
Na -2.0441 -3.6277 -0.4102
Na -0.8298 -5.1842 1.6413
Na -1.2182 -7.5569 2.4710
V -1.1566 -5.1371 4.6878
V -1.7174 -3.6748 -3.4567
N -0.4681 -2.7007 1.1827
N -2.6961 -5.3702 3.5579
N -0.1779 -3.4416 -2.3268
N -2.4059 -6.1112 0.0484
N 0.0000 0.0000 0.0000
```

Summary:
- density (kg/m3) = 3073
- SG = No. 12
- energy relative to the elements, uncorrected (eV per atom) = -0.506
- spin magnetization (μB per atom) = 0.00

---

Density functional theory data (PBE) for crystalline SbMoSe2 at its relaxed geometry.

Cell and atoms, written as extended XYZ:
```
4
Lattice="-0.4256 2.5105 -1.7687 -1.7553 -0.2633 2.5420 7.3750 5.2187 5.6330" Properties=species:S:1:pos:R:3 pbc="T T T"
Mo 0.7533 2.4283 1.7949
Sb 4.4408 5.0377 4.6114
Se 0.4743 0.3357 0.3623
Se 3.2131 2.2737 2.4542
```

Summary:
- density (kg/m3) = 6859
- SG = No. 65
- energy relative to the elements, uncorrected (eV per atom) = 0.286
- spin magnetization (μB per atom) = 0.00

---

Density functional theory data (PBE) for crystalline K2RbLiPb at its relaxed geometry.

Cell and atoms, written as extended XYZ:
```
5
Lattice="-6.3078 2.4718 -0.3476 -0.7121 -2.5191 -4.9914 -2.3443 -5.5422 3.1315" Properties=species:S:1:pos:R:3 pbc="T T T"
Pb -4.6821 -2.7948 -1.1037
K -1.1722 -2.7711 1.5658
K -3.1539 1.2359 -0.1738
Rb 0.0000 0.0000 0.0000
Li -0.3560 -1.2595 -2.4957
```

Summary:
- E above lowest polymorph (eV/atom) = 0.589
- calculated formation energy (eV per atom) = 0.574
- density (kg/m3) = 2419
- SG = No. 123
- spin magnetization (μB per atom) = 0.00

---

Density functional theory data (PBE) for crystalline PmCuSn3 at its relaxed geometry.

Cell and atoms, written as extended XYZ:
```
10
Lattice="5.2584 0.0000 -0.0027 0.0000 4.9779 0.0000 -2.6350 -2.4890 9.7586" Properties=species:S:1:pos:R:3 pbc="T T T"
Pm -1.3205 0.0000 7.9950
Pm 3.9439 2.4890 1.7609
Cu 1.3003 0.0000 3.1196
Cu 1.3231 2.4890 6.6363
Sn 1.3080 2.4890 9.1577
Sn 1.3154 0.0000 0.5983
Sn 1.3150 2.4890 3.8646
Sn 1.3084 0.0000 5.8913
Sn -1.3102 2.4890 5.7380
Sn 3.9336 0.0000 4.0179
```

Summary:
- calculated formation energy (eV per atom) = -0.222
- density (kg/m3) = 7342
- SG = No. 12
- spin magnetization (μB per atom) = 0.00

---

Density functional theory data (PBE) for crystalline ScRe2Ir at its relaxed geometry.

Cell and atoms, written as extended XYZ:
```
4
Lattice="2.8432 0.0000 0.0000 0.0000 3.8887 0.0000 0.0000 0.0000 5.8216" Properties=species:S:1:pos:R:3 pbc="T T T"
Ir 1.4216 1.9443 4.3599
Re 0.0000 0.0000 0.1006
Re 1.4216 1.9443 1.2583
Sc 0.0000 0.0000 3.0136
```

Summary:
- E above lowest polymorph (eV/atom) = 0.063
- calculated formation energy (eV per atom) = -0.086
- density (kg/m3) = 15726
- SG = No. 25
- spin magnetization (μB per atom) = 0.00

---

Density functional theory data (PBE) for crystalline Li2SmHg at its relaxed geometry.

Cell and atoms, written as extended XYZ:
```
4
Lattice="4.8705 0.0000 0.0000 2.4353 4.2180 0.0000 2.4353 1.4060 3.9768" Properties=species:S:1:pos:R:3 pbc="T T T"
Hg 4.8705 2.8120 1.9884
Sm 0.0000 0.0000 0.0000
Li 2.4353 1.4060 0.9942
Li 7.3058 4.2180 2.9826
```

Summary:
- E above lowest polymorph (eV/atom) = 0.052
- calculated formation energy (eV per atom) = -0.180
- density (kg/m3) = 7415
- SG = No. 225
- spin magnetization (μB per atom) = 0.00

---

Density functional theory data (PBE) for crystalline RbBa3Au at its relaxed geometry.

Cell and atoms, written as extended XYZ:
```
5
Lattice="6.6443 0.0000 0.0000 0.0000 6.6443 0.0000 0.0000 0.0000 6.6443" Properties=species:S:1:pos:R:3 pbc="T T T"
Au 0.0000 0.0000 0.0000
Ba 0.0000 3.3221 0.0000
Ba 0.0000 0.0000 3.3221
Ba 3.3221 0.0000 0.0000
Rb 3.3221 3.3221 3.3221
```

Summary:
- E above lowest polymorph (eV/atom) = 0.000
- calculated formation energy (eV per atom) = -0.279
- density (kg/m3) = 3931
- SG = No. 221
- spin magnetization (μB per atom) = 0.00

---

Density functional theory data (PBE) for crystalline Li2PaS4 at its relaxed geometry.

Cell and atoms, written as extended XYZ:
```
14
Lattice="-2.4676 3.2185 -7.2011 -2.4073 -4.3815 -5.8760 -7.1294 -1.0330 -2.7612" Properties=species:S:1:pos:R:3 pbc="T T T"
Li -5.2908 -1.0664 -3.4062
Li -1.2338 1.6092 -3.6005
Li -6.0022 -1.0980 -7.9191
Li -6.7136 -1.1296 -12.4321
Pa -1.2037 -2.1908 -2.9380
Pa -2.4375 -0.5815 -6.5385
S -2.9477 -0.4817 -3.9478
S -7.7139 -3.1905 -8.2678
S -6.6670 -1.1483 -5.4045
S -7.8686 0.4188 -8.9109
S -4.1358 -2.6149 -6.9273
S -4.2905 0.9945 -7.5705
S -5.3374 -1.0477 -10.4337
S -9.0567 -1.7143 -11.8905
```

Summary:
- E above lowest polymorph (eV/atom) = 0.039
- density (kg/m3) = 4055
- SG = No. 74
- energy relative to the elements, uncorrected (eV per atom) = -1.219
- spin magnetization (μB per atom) = 0.05

---

Density functional theory data (PBE) for crystalline BTeO2F at its relaxed geometry.

Cell and atoms, written as extended XYZ:
```
5
Lattice="4.5312 0.0000 0.0000 0.0000 2.8740 0.0000 0.0000 0.0000 4.5312" Properties=species:S:1:pos:R:3 pbc="T T T"
B 0.0000 1.4370 0.0000
Te 2.2656 1.4370 2.2656
O 0.0000 0.0000 2.2656
O 2.2656 0.0000 0.0000
F 0.0000 0.0000 0.0000
```

Summary:
- density (kg/m3) = 5330
- SG = No. 123
- energy relative to the elements, uncorrected (eV per atom) = 0.801
- spin magnetization (μB per atom) = 0.00

---

Density functional theory data (PBE) for crystalline Sr2Mg12Ag3Hg at its relaxed geometry.

Cell and atoms, written as extended XYZ:
```
18
Lattice="-4.5046 6.9800 -3.4105 -7.5949 2.1999 4.2569 0.2838 7.5649 4.8307" Properties=species:S:1:pos:R:3 pbc="T T T"
Sr -7.1258 10.0984 3.4237
Sr -4.6899 6.6464 2.2534
Mg -3.8048 9.9240 4.6535
Mg -10.5265 10.8475 2.5201
Mg -8.0802 11.1463 6.7303
Mg -6.5286 9.5913 -0.0343
Mg -6.5014 13.5883 2.8132
Mg -8.2865 6.8722 4.3271
Mg -8.0109 6.8208 1.0236
Mg -1.2893 5.8973 3.1570
Mg -3.7356 5.5985 -1.0532
Mg -5.2871 7.1535 5.7114
Mg -5.3143 3.1564 2.8638
Mg -3.5292 9.8726 1.3500
Ag -2.2523 3.4900 -1.7052
Ag -3.7975 1.0999 2.1284
Ag 0.1419 3.7824 2.4153
Hg 0.0000 0.0000 0.0000
```

Summary:
- calculated formation energy (eV per atom) = 0.175
- density (kg/m3) = 2940
- SG = No. 166
- spin magnetization (μB per atom) = 0.00